Entry 1:
Entry from Alexandria via LeMat-Bulk: an optimized crystal structure of Ti2As2Ir (PBE).

Cell lengths 4.872, 4.872, 5.143 Å; angles 61.73, 61.73, 90.00 degrees
Positions (direct):
As 0.327 0.327 0.345
As 0.673 0.673 0.655
Ir 0.000 0.000 0.000
Ti 0.750 0.250 0.500
Ti 0.250 0.750 0.500

energy above the lowest structure with this stoichiometry = 333 meV per atom
uncorrected energy = -7.0048 eV per atom
density = 8.0 g/cm3
energy of formation from the pure elements = -0.2148 eV per atom

=====

Entry 2:
Entry from Alexandria via LeMat-Bulk: an optimized crystal structure of LiFeNi6 (PBE).

Cell lengths 6.239, 6.239, 4.800 Å; angles 49.47, 49.47, 60.00 degrees
Last column: magnetic moment on the atom in μB.
Positions (direct):
Li 0.500 0.500 0.500  -0.01
Fe 0.000 0.000 0.000  2.87
Ni 0.849 0.849 0.825  0.70
Ni 0.476 0.849 0.825  0.70
Ni 0.151 0.524 0.175  0.70
Ni 0.524 0.151 0.175  0.70
Ni 0.151 0.151 0.175  0.70
Ni 0.849 0.476 0.825  0.70

energy above the lowest structure with this stoichiometry = 498 meV per atom
uncorrected energy = -5.1771 eV per atom
density = 6.4 g/cm3
energy of formation from the pure elements = 0.4559 eV per atom

=====

Entry 3:
Entry from Alexandria via LeMat-Bulk: an optimized crystal structure of TbPr2Th (PBE).

Cell lengths 3.640, 3.640, 10.338 Å; angles 90.00, 90.00, 90.00 degrees
Positions (direct):
Pr 0.000 0.000 0.757
Pr 0.000 0.000 0.243
Tb 0.500 0.500 0.500
Th 0.500 0.500 0.000

energy above the lowest structure with this stoichiometry = 16 meV per atom
uncorrected energy = -5.3494 eV per atom
density = 8.2 g/cm3
energy of formation from the pure elements = 0.0528 eV per atom

=====

Entry 4:
Entry from Alexandria via LeMat-Bulk: an optimized crystal structure of CsRbNpO4 (PBE).

Cell lengths 4.381, 4.381, 8.039 Å; angles 105.81, 105.81, 90.00 degrees
Last column: magnetic moment on the atom in μB.
Positions (direct):
Cs 0.657 0.657 0.315  0.00
Rb 0.354 0.354 0.708  0.00
Np 0.998 0.998 0.996  1.19
O 0.997 0.497 0.995  -0.05
O 0.497 0.997 0.995  -0.05
O 0.868 0.868 0.736  -0.04
O 0.128 0.128 0.256  -0.05

energy relative to the elements, uncorrected = -2.4513 eV per atom
uncorrected energy = -7.3934 eV per atom
density = 6.1 g/cm3

=====

Entry 5:
Entry from Alexandria via LeMat-Bulk: an optimized crystal structure of ScReP3 (PBE).

Cell lengths 4.648, 4.648, 4.648 Å; angles 90.00, 90.00, 90.00 degrees
Positions (direct):
Sc 0.500 0.500 0.500
Re 0.000 0.000 0.000
P 0.000 0.500 0.000
P 0.000 0.000 0.500
P 0.500 0.000 0.000

energy above the lowest structure with this stoichiometry = 0 meV per atom
uncorrected energy = -6.7027 eV per atom
density = 5.4 g/cm3
energy of formation from the pure elements = 0.2992 eV per atom

=====

Entry 6:
Entry from Alexandria via LeMat-Bulk: an optimized crystal structure of Y2ReAs (PBE).

Cell lengths 5.877, 5.877, 5.877 Å; angles 44.71, 44.71, 44.71 degrees
Positions (direct):
Y 0.028 0.028 0.028
Y 0.225 0.225 0.225
Re 0.792 0.792 0.792
As 0.455 0.455 0.455

uncorrected energy = -7.7266 eV per atom
density = 8.0 g/cm3
energy of formation from the pure elements = -0.2202 eV per atom

=====

Entry 7:
Entry from Alexandria via LeMat-Bulk: an optimized crystal structure of KAs2HO6 (PBE).

Cell lengths 9.820, 6.222, 9.348 Å; angles 84.54, 90.00, 90.00 degrees
Positions (direct):
As 0.110 0.842 0.746
As 0.610 0.158 0.754
As 0.890 0.158 0.254
As 0.390 0.842 0.246
As 0.402 0.885 0.584
As 0.902 0.115 0.916
As 0.598 0.115 0.416
As 0.098 0.885 0.084
H 0.455 0.548 0.713
H 0.955 0.452 0.787
H 0.545 0.452 0.287
H 0.045 0.548 0.213
K 0.192 0.395 0.484
K 0.692 0.605 0.016
K 0.808 0.605 0.516
K 0.308 0.395 0.984
O 0.054 0.616 0.681
O 0.554 0.384 0.819
O 0.946 0.384 0.319
O 0.446 0.616 0.181
O 0.187 0.796 0.915
O 0.687 0.204 0.585
O 0.813 0.204 0.085
O 0.313 0.796 0.415
O 0.482 0.961 0.758
O 0.982 0.039 0.742
O 0.518 0.039 0.242
O 0.018 0.961 0.258
O 0.231 0.987 0.636
O 0.731 0.013 0.864
O 0.769 0.013 0.364
O 0.269 0.987 0.136
O 0.371 0.619 0.668
O 0.871 0.381 0.832
O 0.629 0.381 0.332
O 0.129 0.619 0.168
O 0.572 0.837 0.505
O 0.072 0.163 0.995
O 0.428 0.163 0.495
O 0.928 0.837 0.005

energy above the lowest structure with this stoichiometry = 0 meV per atom
uncorrected energy = -5.6895 eV per atom
density = 3.3 g/cm3

=====

Entry 8:
Entry from Alexandria via LeMat-Bulk: an optimized crystal structure of Al4W (PBE).

Cell lengths 9.294, 9.294, 5.233 Å; angles 87.18, 87.18, 147.01 degrees
Positions (direct):
Al 0.146 0.146 0.487
Al 0.505 0.505 0.846
Al 0.736 0.582 0.313
Al 0.582 0.736 0.313
Al 0.933 0.695 0.786
Al 0.695 0.933 0.786
Al 0.304 0.056 0.193
Al 0.056 0.304 0.193
Al 0.921 0.451 0.417
Al 0.451 0.921 0.417
Al 0.273 0.773 0.928
Al 0.773 0.273 0.928
W 0.991 0.991 0.007
W 0.465 0.192 0.670
W 0.192 0.465 0.670

energy above the lowest structure with this stoichiometry = 0 meV per atom
uncorrected energy = -5.7445 eV per atom
density = 6.0 g/cm3
energy of formation from the pure elements = -0.1598 eV per atom

=====

Entry 9:
Entry from Alexandria via LeMat-Bulk: an optimized crystal structure of CaH3Ir (PBE).

Cell lengths 3.675, 3.675, 3.675 Å; angles 90.00, 90.00, 90.00 degrees
Positions (direct):
H 0.000 0.500 0.000
H 0.000 0.000 0.500
H 0.500 0.000 0.000
Ca 0.500 0.500 0.500
Ir 0.000 0.000 0.000

uncorrected energy = -4.6881 eV per atom
density = 7.9 g/cm3

=====

Entry 10:
Entry from Alexandria via LeMat-Bulk: an optimized crystal structure of Cs4HICl2 (PBE).

Cell lengths 10.207, 10.207, 10.185 Å; angles 119.94, 119.94, 89.97 degrees
Positions (direct):
Cs 0.261 0.776 0.018
Cs 0.724 0.239 0.482
Cs 0.276 0.761 0.518
Cs 0.739 0.224 0.982
Cs 0.741 0.758 0.995
Cs 0.742 0.759 0.505
Cs 0.258 0.241 0.495
Cs 0.259 0.242 0.005
H 0.500 0.500 0.500
H 0.000 0.000 0.000
I 0.000 0.500 0.000
I 0.000 0.500 0.500
Cl 0.500 0.000 0.000
Cl 0.500 0.000 0.500
Cl 0.000 0.000 0.500
Cl 0.500 0.500 0.000

uncorrected energy = -2.8797 eV per atom
density = 3.2 g/cm3

=====

Entry 11:
Entry from Alexandria via LeMat-Bulk: an optimized crystal structure of CeHoCdCu (PBE).

Cell lengths 5.178, 5.178, 5.178 Å; angles 60.00, 60.00, 60.00 degrees
Last column: magnetic moment on the atom in μB.
Positions (direct):
Cu 0.250 0.250 0.250  0.01
Ho 0.500 0.500 0.500  0.08
Ce 0.000 0.000 0.000  0.75
Cd 0.750 0.750 0.750  0.01

uncorrected energy = -3.9826 eV per atom
density = 8.1 g/cm3
energy of formation from the pure elements = -0.1019 eV per atom

=====

Entry 12:
Entry from Alexandria via LeMat-Bulk: an optimized crystal structure of CaYTlGa (PBE).

Cell lengths 5.289, 5.289, 5.289 Å; angles 60.00, 60.00, 60.00 degrees
Positions (direct):
Y 0.750 0.750 0.750
Tl 0.500 0.500 0.500
Ca 0.250 0.250 0.250
Ga 0.000 0.000 0.000

uncorrected energy = -3.8820 eV per atom
density = 6.4 g/cm3
energy of formation from the pure elements = -0.4173 eV per atom

=====

Entry 13:
Entry from Alexandria via LeMat-Bulk: an optimized crystal structure of LaZrH2 (PBE).

Cell lengths 3.333, 3.333, 6.397 Å; angles 74.90, 74.90, 60.00 degrees
Positions (direct):
H 0.724 0.724 0.828
H 0.276 0.276 0.172
Zr 0.000 0.000 0.000
La 0.500 0.500 0.500

energy above the lowest structure with this stoichiometry = 0 meV per atom
uncorrected energy = -5.3312 eV per atom
density = 6.6 g/cm3

=====

Entry 14:
Entry from Alexandria via LeMat-Bulk: an optimized crystal structure of SrAcSe2 (PBE).

Cell lengths 6.294, 6.294, 7.712 Å; angles 114.08, 114.08, 90.00 degrees
Positions (direct):
Sr 0.500 0.500 0.000
Sr 0.250 0.750 0.500
Ac 0.750 0.250 0.500
Ac 0.000 0.000 0.000
Se 0.748 0.748 0.496
Se 0.498 0.998 0.996
Se 0.252 0.252 0.504
Se 0.002 0.502 0.004

energy relative to the elements, uncorrected = -1.9431 eV per atom
energy above the lowest structure with this stoichiometry = 0 meV per atom
uncorrected energy = -5.1329 eV per atom
density = 6.3 g/cm3

=====

Entry 15:
Entry from Alexandria via LeMat-Bulk: an optimized crystal structure of Pm2TmZn2Pd5 (PBE).

Cell lengths 3.883, 9.981, 9.981 Å; angles 90.00, 90.00, 90.00 degrees
Positions (direct):
Pm 0.000 0.676 0.176
Pm 0.000 0.324 0.824
Pm 0.000 0.176 0.324
Pm 0.000 0.824 0.676
Tm 0.000 0.000 0.000
Tm 0.000 0.500 0.500
Zn 0.000 0.119 0.619
Zn 0.000 0.881 0.381
Zn 0.000 0.619 0.881
Zn 0.000 0.381 0.119
Pd 0.500 0.212 0.067
Pd 0.500 0.788 0.933
Pd 0.500 0.067 0.788
Pd 0.500 0.712 0.433
Pd 0.500 0.933 0.212
Pd 0.500 0.288 0.567
Pd 0.500 0.567 0.712
Pd 0.500 0.433 0.288
Pd 0.500 0.500 0.000
Pd 0.500 0.000 0.500

uncorrected energy = -5.0059 eV per atom
density = 9.6 g/cm3
energy of formation from the pure elements = -0.7574 eV per atom

=====

Entry 16:
Entry from Alexandria via LeMat-Bulk: an optimized crystal structure of K4Hg3Pd2 (PBE).

Cell lengths 4.548, 7.990, 8.936 Å; angles 106.16, 104.74, 90.00 degrees
Positions (direct):
K 0.227 0.681 0.454
K 0.773 0.319 0.546
K 0.579 0.879 0.157
K 0.421 0.121 0.843
Hg 0.106 0.243 0.212
Hg 0.894 0.757 0.788
Hg 0.000 0.500 0.000
Pd 0.419 0.564 0.838
Pd 0.581 0.436 0.162

uncorrected energy = -1.9339 eV per atom
density = 5.4 g/cm3
energy of formation from the pure elements = -0.1916 eV per atom

=====

Entry 17:
Entry from Alexandria via LeMat-Bulk: an optimized crystal structure of Ba3ThSc2O9 (PBE).

Cell lengths 6.092, 6.092, 7.565 Å; angles 90.00, 90.00, 120.00 degrees
Last column: magnetic moment on the atom in μB.
Positions (direct):
Ba 0.333 0.667 0.689  -0.01
Ba 0.000 0.000 0.000  -0.01
Ba 0.667 0.333 0.311  -0.01
Th 0.000 0.000 0.500  0.06
Sc 0.333 0.667 0.159  -0.02
Sc 0.667 0.333 0.841  -0.02
O 0.829 0.171 0.679  0.18
O 0.829 0.657 0.679  0.18
O 0.343 0.171 0.679  0.18
O 0.657 0.829 0.321  0.18
O 0.171 0.343 0.321  0.18
O 0.171 0.829 0.321  0.18
O 0.500 0.000 0.000  0.24
O 0.000 0.500 0.000  0.24
O 0.500 0.500 0.000  0.24

energy relative to the elements, uncorrected = -2.9449 eV per atom
uncorrected energy = -7.6432 eV per atom
density = 6.0 g/cm3

=====

Entry 18:
Entry from Alexandria via LeMat-Bulk: an optimized crystal structure of LiBiSb2 (PBE).

Cell lengths 4.676, 4.676, 6.942 Å; angles 70.32, 70.32, 60.00 degrees
Positions (direct):
Li 0.495 0.495 0.516
Bi 0.668 0.668 0.997
Sb 0.093 0.093 0.720
Sb 0.244 0.244 0.267

energy relative to the elements, uncorrected = -0.1128 eV per atom
uncorrected energy = -3.6227 eV per atom
density = 6.3 g/cm3

=====

Entry 19:
Entry from Alexandria via LeMat-Bulk: an optimized crystal structure of Sr2ReRu (PBE).

Cell lengths 5.681, 5.681, 3.174 Å; angles 90.04, 90.04, 120.94 degrees
Positions (direct):
Re 0.500 0.000 0.500
Ru 0.000 0.500 0.500
Sr 0.000 0.000 0.000
Sr 0.500 0.500 0.000

energy above the lowest structure with this stoichiometry = 659 meV per atom
uncorrected energy = -5.1312 eV per atom
density = 8.7 g/cm3
energy of formation from the pure elements = 1.1407 eV per atom

=====

Entry 20:
Entry from Alexandria via LeMat-Bulk: an optimized crystal structure of SbAuI2F (PBE).

Cell lengths 5.909, 5.909, 4.189 Å; angles 90.00, 90.00, 90.00 degrees
Positions (direct):
I 0.000 0.500 0.000
I 0.500 0.000 0.000
Sb 0.000 0.000 0.500
Au 0.500 0.500 0.500
F 0.000 0.000 0.000

energy relative to the elements, uncorrected = 0.0296 eV per atom
energy above the lowest structure with this stoichiometry = 0 meV per atom
uncorrected energy = -2.4446 eV per atom
density = 6.7 g/cm3

=====

Entry 21:
Entry from Alexandria via LeMat-Bulk: an optimized crystal structure of Er2MgTc (PBE).

Cell lengths 3.738, 4.867, 4.867 Å; angles 90.00, 90.00, 90.00 degrees
Positions (direct):
Mg 0.500 0.000 0.000
Tc 0.500 0.500 0.500
Er 0.000 0.000 0.500
Er 0.000 0.500 0.000

uncorrected energy = -5.2226 eV per atom
density = 8.6 g/cm3
energy of formation from the pure elements = 0.0489 eV per atom

=====

Entry 22:
Entry from Alexandria via LeMat-Bulk: an optimized crystal structure of MgAl2Si (PBE).

Cell lengths 4.968, 4.968, 2.969 Å; angles 90.00, 90.00, 111.28 degrees
Positions (direct):
Al 0.000 0.000 0.000
Al 0.500 0.500 0.000
Mg 0.500 0.000 0.500
Si 0.000 0.500 0.500

energy relative to the elements, uncorrected = 0.0829 eV per atom
uncorrected energy = -3.5428 eV per atom
density = 2.6 g/cm3

=====

Entry 23:
Entry from Alexandria via LeMat-Bulk: an optimized crystal structure of Hf3AlCo (PBE).

Cell lengths 4.747, 4.747, 4.747 Å; angles 90.00, 90.00, 90.00 degrees
Positions (direct):
Co 0.000 0.000 0.000
Hf 0.000 0.500 0.000
Hf 0.000 0.000 0.500
Hf 0.500 0.000 0.000
Al 0.500 0.500 0.500

energy above the lowest structure with this stoichiometry = 292 meV per atom
uncorrected energy = -8.0392 eV per atom
density = 9.6 g/cm3
energy of formation from the pure elements = 0.1026 eV per atom

=====

Entry 24:
Entry from Alexandria via LeMat-Bulk: an optimized crystal structure of ZnNi2Te (PBE).

Cell lengths 4.986, 4.986, 4.986 Å; angles 136.02, 136.02, 63.95 degrees
Positions (direct):
Ni 0.000 0.000 0.000
Ni 0.250 0.750 0.500
Te 0.500 0.500 0.000
Zn 0.750 0.250 0.500

energy relative to the elements, uncorrected = 0.0622 eV per atom
energy above the lowest structure with this stoichiometry = 68 meV per atom
uncorrected energy = -3.9324 eV per atom
density = 8.7 g/cm3